{"formula": "Si3TeI", "functional": "PBE", "state": "optimized geometry", "final_energy_ev_per_atom": -2.897, "polymorph_energy_mev_per_atom": 0.0, "formation_energy_uncorrected_ev_per_atom": 1.295, "m_tot_mub_per_atom": 0.000, "spacegroup": "Pm-3m", "vol_a3_per_atom": 31.73, "lattice_angstrom": [[-1.7338, -1.4534, -4.9184], [4.9918, 0.7131, -1.9704], [1.1768, -5.1660, 1.1117]], "species": ["I", "Si", "Si", "Te", "Si"], "frac_coords": [[0.5000, 0.5000, 0.5000], [0.0000, 0.0000, 0.5000], [0.0000, 0.5000, 0.0000], [0.0000, 0.0000, 0.0000], [0.5000, 0.0000, 0.0000]]}